PaPO4F2: relaxed, PBE.

Properties
The calculation puts the total energy at -7.897 eV/atom. The calculation puts the density of states at the Fermi level at 0.000 states/eV/f.u. As for the magnetic moment: 0.000 μB per atom. The energy relative to the elements, uncorrected is -3087 meV/atom.

```
data_PaPO4F2
_symmetry_space_group_name_H-M 'P m m n'
_symmetry_Int_Tables_number 59
_cell_length_a 5.747
_cell_length_b 6.940
_cell_length_c 7.487
_cell_angle_alpha 90.00
_cell_angle_beta 90.00
_cell_angle_gamma 90.00
loop_
_symmetry_equiv_pos_as_xyz
'x,y,z'
'-x,-y,-z'
'-x+1/2,-y+1/2,z'
'x+1/2,y+1/2,-z'
'x+1/2,-y,-z'
'-x+1/2,y,z'
'-x,y+1/2,-z'
'x,-y+1/2,z'
loop_
_atom_site_label
_atom_site_type_symbol
_atom_site_fract_x
_atom_site_fract_y
_atom_site_fract_z
_atom_site_occupancy
Pa1 Pa 0.250 0.250 0.236 1
P1 P 0.250 0.750 0.085 1
O1 O 0.030 0.750 0.964 1
O2 O 0.250 0.567 0.201 1
F1 F 0.002 0.250 0.434 1
```



TcIrOs: relaxed, PBE.

Properties
The calculation puts the total energy at -10.166 eV/atom. Its excess energy over the best structure of this formula in the dataset is 45 meV/atom. The calculation puts the density of states at the Fermi level at 2.428 states/eV/f.u. As for the magnetic moment: 0.000 μB per atom. As for the calculated formation energy: -0.0134 eV per atom.

```
data_TcIrOs
_symmetry_space_group_name_H-M 'P 3 m 1'
_symmetry_Int_Tables_number 156
_symmetry_space_group_name_Hall 'P 3 -2"'
_cell_length_a 2.7319
_cell_length_b 2.7319
_cell_length_c 6.7137
_cell_angle_alpha 90.00
_cell_angle_beta 90.00
_cell_angle_gamma 120.00
loop_
_atom_site_label
_atom_site_type_symbol
_atom_site_fract_x
_atom_site_fract_y
_atom_site_fract_z
_atom_site_occupancy
Tc1 Tc 0.0000 0.0000 0.0000 1
Ir1 Ir 0.6667 0.3333 0.3370 1
Os1 Os 0.3333 0.6667 0.6782 1
```



CoBSe2: relaxed, PBE.

Properties
The calculation puts the total energy at -5.120 eV/atom. The calculation puts the density of states at the Fermi level at 0.525 states/eV/f.u. As for the magnetic moment: 0.494 μB per atom. The energy relative to the elements, uncorrected is 69 meV/atom.

```
data_CoBSe2
_symmetry_space_group_name_H-M 'I -4 2 d'
_symmetry_Int_Tables_number 122
_symmetry_space_group_name_Hall 'I -4 2bw'
_cell_length_a 5.256
_cell_length_b 5.256
_cell_length_c 9.645
_cell_angle_alpha 90.00
_cell_angle_beta 90.00
_cell_angle_gamma 90.00
loop_
_atom_site_label
_atom_site_type_symbol
_atom_site_fract_x
_atom_site_fract_y
_atom_site_fract_z
_atom_site_occupancy
Co1 Co 0.000 0.000 0.000 1
B1 B 0.000 0.000 0.500 1
Se1 Se 0.210 0.250 0.625 1
```



Repeat the second record exactly.
TcIrOs: relaxed, PBE.

Properties
The calculation puts the total energy at -10.166 eV/atom. Its excess energy over the best structure of this formula in the dataset is 45 meV/atom. The calculation puts the density of states at the Fermi level at 2.428 states/eV/f.u. As for the magnetic moment: 0.000 μB per atom. As for the calculated formation energy: -0.0134 eV per atom.

```
data_TcIrOs
_symmetry_space_group_name_H-M 'P 3 m 1'
_symmetry_Int_Tables_number 156
_symmetry_space_group_name_Hall 'P 3 -2"'
_cell_length_a 2.7319
_cell_length_b 2.7319
_cell_length_c 6.7137
_cell_angle_alpha 90.00
_cell_angle_beta 90.00
_cell_angle_gamma 120.00
loop_
_atom_site_label
_atom_site_type_symbol
_atom_site_fract_x
_atom_site_fract_y
_atom_site_fract_z
_atom_site_occupancy
Tc1 Tc 0.0000 0.0000 0.0000 1
Ir1 Ir 0.6667 0.3333 0.3370 1
Os1 Os 0.3333 0.6667 0.6782 1
```